SrTlGa2Rh | PBE | relaxed

Energy of formation from the pure elements ... -302 meV/atom
Volume ... 125 Å³/cell

Cell and atoms, written as POSCAR:
```
SrTlGa2Rh
1.0
4.8517 0.0000 0.0000
0.0000 4.8517 0.0000
0.0000 0.0000 5.3100
Sr Rh Ga Tl
1 1 2 1
Cartesian
2.4258 2.4258 2.6550
0.0000 0.0000 0.0000
2.4258 0.0000 0.0000
0.0000 2.4258 0.0000
0.0000 0.0000 2.6550
```


Sr2UGaRh6 | PBE | relaxed

Energy of formation from the pure elements ... -396 meV/atom
Volume ... 215 Å³/cell

Cell and atoms, written as POSCAR:
```
Sr2UGaRh6
1.0
-6.0640 2.0385 -2.6097
-2.1703 -6.1842 0.2036
-5.8811 -1.6922 3.2079
Ga Rh Sr U
1 6 2 1
Cartesian
0.0000 0.0000 0.0000
-2.4387 -0.4847 -0.2244
-11.6766 -5.3532 1.0263
-4.7739 -1.1473 1.0366
-4.8325 0.3320 -1.2639
-9.3414 -4.6906 -0.2348
-9.2828 -6.1699 2.0657
-6.0460 -4.3765 1.4879
-8.0693 -1.4614 -0.6861
-4.1171 -2.0728 -1.2030
```


SrY2GaRh | PBE | relaxed

Energy of formation from the pure elements ... 415 meV/atom
Volume ... 165 Å³/cell

Cell and atoms, written as POSCAR:
```
SrY2GaRh
1.0
5.3842 0.0000 0.0000
0.0000 5.3842 0.0000
0.0000 0.0000 5.6853
Sr Y Rh Ga
1 2 1 1
Cartesian
0.0000 0.0000 2.8427
0.0000 2.6921 0.0000
2.6921 0.0000 0.0000
2.6921 2.6921 2.8427
0.0000 0.0000 0.0000
```


SrZn2GaRh | PBE | relaxed

Energy of formation from the pure elements ... -388 meV/atom
Volume ... 113 Å³/cell

Cell and atoms, written as POSCAR:
```
SrZn2GaRh
1.0
4.8791 0.0000 0.0000
0.0000 4.8791 0.0000
0.0000 0.0000 4.7590
Sr Zn Rh Ga
1 2 1 1
Cartesian
2.4395 2.4395 2.3795
0.0000 2.4395 0.0000
2.4395 0.0000 0.0000
0.0000 0.0000 0.0000
0.0000 0.0000 2.3795
```


SrZn2GaRh2 | PBE | relaxed

Energy of formation from the pure elements ... -263 meV/atom
Volume ... 127 Å³/cell

Cell and atoms, written as POSCAR:
```
SrZn2GaRh2
1.0
-1.1576 -0.4245 4.4752
4.4952 -0.1379 1.1497
0.0353 5.8722 0.5662
Rh Zn Sr Ga
2 2 1 1
Cartesian
-0.5788 -0.2123 2.2376
2.2476 -0.0690 0.5748
1.6958 4.2071 3.2452
1.6771 1.1027 2.9459
0.0177 2.9361 0.2831
0.0000 0.0000 0.0000
```


Sr2ZnGaRh | PBE | relaxed

Energy of formation from the pure elements ... -217 meV/atom
Volume ... 160 Å³/cell

Cell and atoms, written as POSCAR:
```
Sr2ZnGaRh
1.0
5.7757 0.0000 0.0000
0.0000 5.7757 0.0000
0.0000 0.0000 4.7901
Sr Ga Rh Zn
2 1 1 1
Cartesian
2.8879 0.0000 0.0000
0.0000 2.8879 0.0000
0.0000 0.0000 2.3951
0.0000 0.0000 0.0000
2.8879 2.8879 2.3951
```